[1]
RuIBr2 PBE optimized geometry; energy relative to the lowest polymorph listed for this composition = 0.4428 eV/atom; magnetization = 0.00 μB per formula unit
1.0
7.367 0.000 0.000
0.000 7.367 0.000
3.684 3.684 4.849
Br I Ru
4 2 2
Direct
0.504 0.125 0.250
0.875 0.754 0.750
0.375 0.496 0.750
0.246 0.625 0.250
0.750 0.250 0.500
0.000 0.000 0.000
0.250 0.750 0.500
0.500 0.500 0.000


[2]
Ce4Be PBE optimized geometry; ΔE_f = 469 meV per atom; magnetization = 2.14 μB per formula unit
1.0
-1.912 -4.696 -1.173
4.237 -2.234 2.035
-2.339 -0.207 4.644
Ce Be
4 1
Direct
0.000 0.500 0.500
0.500 0.500 0.000
0.000 0.000 0.000
0.500 0.000 0.500
0.500 0.500 0.500


[3]
Tl2CdH6 PBE optimized geometry; calculated total energy = -2.3693 eV/atom; magnetization = 0.00 μB per formula unit
1.0
-1.118 -4.161 -0.538
2.138 -1.243 5.122
-5.453 1.529 -0.524
H Cd Tl
6 1 2
Direct
0.237 0.705 0.705
0.765 0.707 0.000
0.765 0.000 0.707
0.763 0.295 0.295
0.235 0.000 0.293
0.235 0.293 0.000
0.000 0.000 0.000
0.500 0.667 0.333
0.500 0.333 0.667


[4]
Na3BeF5 PBE optimized geometry; calculated total energy = -4.8173 eV/atom; magnetization = 0.12 μB per formula unit
1.0
-1.911 -6.039 1.249
5.973 -2.138 -1.196
-0.826 4.719 4.863
F Na Be
10 6 2
Direct
0.478 0.708 0.687
0.022 0.522 0.313
0.208 0.978 0.687
0.522 0.292 0.313
0.500 0.500 0.000
0.708 0.208 0.687
0.292 0.792 0.313
0.792 0.022 0.313
0.000 0.000 0.000
0.978 0.478 0.687
0.684 0.184 0.000
0.184 0.316 0.000
0.250 0.250 0.500
0.816 0.684 0.000
0.316 0.816 0.000
0.750 0.750 0.500
0.750 0.250 0.500
0.250 0.750 0.500


[5]
Be2ReI PBE optimized geometry; energy relative to the lowest polymorph listed for this composition = 0.0066 eV/atom; magnetization = 1.99 μB per formula unit
1.0
5.859 0.000 0.000
0.000 5.859 0.000
2.930 2.930 4.778
Re Be I
2 4 2
Direct
0.750 0.250 0.500
0.000 0.000 0.000
0.375 0.345 0.750
0.655 0.125 0.250
0.095 0.625 0.250
0.875 0.905 0.750
0.250 0.750 0.500
0.500 0.500 0.000


[6]
Nd6Sm3Ho2Tm PBE optimized geometry; ΔE_f = 14 meV per atom; magnetization = 0.00 μB per formula unit
1.0
6.296 -0.001 0.009
-3.147 5.453 0.009
-1.063 -1.841 11.745
Nd Ho Sm Tm
6 2 3 1
Direct
0.584 0.917 0.753
0.750 0.750 0.247
0.250 0.250 0.753
0.083 0.416 0.247
0.917 0.584 0.753
0.416 0.083 0.247
0.333 0.667 0.000
0.667 0.333 0.000
0.833 0.167 0.500
0.167 0.833 0.500
0.500 0.500 0.500
0.000 0.000 0.000


[7]
Ba3HoTm3Se8 PBE optimized geometry; calculated total energy = -5.3458 eV/atom; magnetization = 0.00 μB per formula unit
1.0
-2.888 -4.643 6.302
8.008 -0.564 -2.269
-2.618 7.403 4.255
Tm Se Ba Ho
3 8 3 1
Direct
0.500 0.500 0.500
0.500 0.000 0.500
0.000 0.500 0.500
0.268 0.030 0.291
0.736 0.473 0.709
0.761 0.030 0.291
0.732 0.970 0.709
0.762 0.523 0.292
0.239 0.970 0.709
0.264 0.527 0.291
0.238 0.477 0.708
0.000 0.000 0.000
0.500 0.500 0.000
0.000 0.500 0.000
0.000 0.000 0.500


[8]
LiTb2Cu2O6 PBE optimized geometry; calculated total energy = -6.0826 eV/atom; magnetization = 1.97 μB per formula unit
1.0
5.626 0.000 0.000
2.813 4.872 0.000
2.813 1.624 5.262
O Tb Cu Li
6 2 2 1
Direct
0.243 0.243 0.718
0.757 0.757 0.282
0.203 0.757 0.282
0.757 0.203 0.282
0.243 0.797 0.718
0.797 0.243 0.718
0.201 0.201 0.398
0.799 0.799 0.602
0.417 0.417 0.750
0.583 0.583 0.250
0.000 0.000 0.000


[9]
Dy3NpRu4 PBE optimized geometry; energy relative to the lowest polymorph listed for this composition = 0.0000 eV/atom; ΔE_f = -299 meV per atom; magnetization = 2.07 μB per formula unit
1.0
4.629 0.000 -1.250
-0.299 4.661 -1.107
-0.469 -0.338 7.462
Dy Ru Np
3 4 1
Direct
0.249 0.745 0.498
0.751 0.255 0.502
0.000 0.500 0.000
0.117 0.111 0.234
0.385 0.349 0.770
0.883 0.889 0.766
0.615 0.651 0.230
0.500 0.000 0.000


[10]
CaMgGa3 PBE optimized geometry; ΔE_f = -353 meV per atom; magnetization = 0.00 μB per formula unit
1.0
-1.844 3.821 -0.224
-1.096 -0.290 4.084
11.130 5.439 1.173
Ca Mg Ga
2 2 6
Direct
0.750 0.922 0.844
0.250 0.078 0.156
0.250 0.795 0.589
0.750 0.205 0.411
0.750 0.525 0.051
0.250 0.373 0.746
0.250 0.683 0.367
0.750 0.627 0.254
0.250 0.475 0.949
0.750 0.317 0.633


[11]
NaAs2WBr PBE optimized geometry; energy relative to the lowest polymorph listed for this composition = 0.0000 eV/atom; magnetization = 0.46 μB per formula unit
1.0
4.843 0.000 0.000
0.000 4.843 0.000
0.000 0.000 5.720
Na As Br W
1 2 1 1
Direct
0.500 0.500 0.500
0.000 0.500 0.000
0.500 0.000 0.000
0.000 0.000 0.500
0.000 0.000 0.000


[12]
AlReSN2 PBE optimized geometry; energy relative to the lowest polymorph listed for this composition = 0.8094 eV/atom; magnetization = 1.58 μB per formula unit
1.0
3.708 0.000 0.000
0.000 3.708 0.000
0.000 0.000 4.616
N Al Re S
2 1 1 1
Direct
0.000 0.500 0.000
0.500 0.000 0.000
0.000 0.000 0.000
0.500 0.500 0.500
0.000 0.000 0.500


- magnetization of number 6 (Nd6Sm3Ho2Tm)?
  0.00 μB per formula unit